The following is a PBE with a Hubbard U calculation of an optimized crystal structure of KW3F, from Alexandria via LeMat-Bulk.

**ρ**: 10.841 g/cm3
**Raw total energy**: -2.79 eV/atom
**V**: 18.7 A^3/atom
**Relative energy among the computed polymorphs**: 0.0 meV per atom

Cell lengths 4.537, 4.537, 4.537 Å; angles 90.00, 90.00, 90.00 degrees
Atoms (fractional coordinates):
W  0.000  0.500  0.000
K  0.500  0.500  0.500
W  0.500  0.000  0.000
F  0.000  0.000  0.000
W  0.000  0.000  0.500